! GGA-PBE AlGaCoS4, optimized geometry; values from VASP
! - DFT total energy: -5.02 eV per atom
&SYSTEM
  ibrav = 0, nat = 28, ntyp = 4
/
ATOMIC_SPECIES
Al 26.98 Al.upf
Ga 69.72 Ga.upf
Co 58.93 Co.upf
S 32.06 S.upf
CELL_PARAMETERS angstrom
6.981 0.000 0.000
0.000 6.981 0.000
0.000 0.000 9.937
ATOMIC_POSITIONS angstrom
Al 0.000 1.796 0.000
Al 0.000 5.185 4.969
Al 1.796 0.000 7.453
Al 5.185 0.000 2.484
Ga 1.777 1.777 3.727
Ga 1.777 5.204 1.242
Ga 5.204 1.777 6.211
Ga 5.204 5.204 8.695
Co 1.739 3.491 7.453
Co 3.491 1.739 0.000
Co 3.491 5.242 4.969
Co 5.242 3.491 2.484
S 0.172 1.794 7.523
S 0.172 5.188 7.383
S 1.794 0.172 9.867
S 1.794 6.809 5.039
S 1.818 3.340 9.771
S 1.818 3.641 5.135
S 3.340 1.818 7.620
S 3.340 5.164 7.286
S 3.641 1.818 2.318
S 3.641 5.164 2.651
S 5.164 3.340 0.167
S 5.164 3.641 4.802
S 5.188 0.172 0.070
S 5.188 6.809 4.898
S 6.809 1.794 2.414
S 6.809 5.188 2.555

=====

! GGA-PBE AlGaCoSe4, optimized geometry; values from VASP
! - ΔE to the lowest computed polymorph: 0.028 eV per atom
! - DFT total energy: -4.41 eV per atom
&SYSTEM
  ibrav = 0, nat = 28, ntyp = 4
/
ATOMIC_SPECIES
Al 26.98 Al.upf
Ga 69.72 Ga.upf
Co 58.93 Co.upf
Se 78.96 Se.upf
CELL_PARAMETERS angstrom
7.521 0.000 0.000
0.000 7.521 0.000
0.000 0.000 10.551
ATOMIC_POSITIONS angstrom
Al 0.000 1.855 0.000
Al 0.000 5.665 5.275
Al 1.855 0.000 7.913
Al 5.665 0.000 2.638
Ga 1.860 3.760 7.913
Ga 3.760 1.860 0.000
Ga 3.760 5.660 5.275
Ga 5.660 3.760 2.638
Co 1.893 1.893 3.957
Co 1.893 5.628 1.319
Co 5.628 1.893 6.594
Co 5.628 5.628 9.232
Se 0.072 1.849 7.982
Se 0.072 5.672 7.844
Se 1.849 0.072 10.481
Se 1.847 3.647 10.523
Se 1.847 3.874 5.303
Se 1.849 7.449 5.345
Se 3.647 1.847 7.941
Se 3.647 5.673 7.885
Se 3.874 1.847 2.610
Se 3.874 5.673 2.665
Se 5.672 0.072 0.069
Se 5.673 3.647 0.028
Se 5.673 3.874 5.248
Se 5.672 7.449 5.206
Se 7.449 1.849 2.568
Se 7.449 5.672 2.707

=====

- Among the records above, which one has the lowest DFT total energy?
  AlGaCoS4

=====

- Which of these has the highest DFT total energy?
  AlGaCoSe4